[1]
First-principles (PBE-GGA) data for a geometry-optimized La3PmNd4 structure, as listed in Alexandria.

Cell lengths 7.377, 7.379, 10.508 Å; angles 90.00, 90.00, 90.00 degrees
Positions (direct):
La 0.000 0.810 0.500
La 0.251 0.061 0.750
La 0.749 0.561 0.250
La 0.749 0.561 0.750
La 0.000 0.310 0.000
La 0.251 0.061 0.250
Nd 0.000 0.811 0.000
Nd 0.000 0.311 0.500
Nd 0.251 0.561 0.250
Nd 0.500 0.811 0.500
Nd 0.500 0.311 0.000
Nd 0.749 0.061 0.250
Nd 0.749 0.061 0.750
Nd 0.251 0.561 0.750
Pm 0.500 0.311 0.500
Pm 0.500 0.811 0.000

Results
DFT total energy: -4.81 eV per atom

---

[2]
First-principles (PBE-GGA) data for a geometry-optimized Ta2MnZn structure, as listed in Alexandria.

Cell lengths 3.098, 3.098, 6.503 Å; angles 90.00, 90.00, 90.00 degrees
Last column: magnetic moment on the atom in μB.
Positions (direct):
Ta 0.000 0.000 0.962  -0.22
Ta 0.500 0.500 0.257  -0.08
Zn 0.000 0.000 0.530  -0.03
Mn 0.500 0.500 0.751  1.02

Results
DFT total energy: -8.48 eV per atom

---

[3]
First-principles (PBE-GGA) data for a geometry-optimized SrCr2Br structure, as listed in Alexandria.

Cell lengths 3.810, 3.810, 7.683 Å; angles 90.00, 90.00, 90.00 degrees
Last column: magnetic moment on the atom in μB.
Positions (direct):
Cr 0.000 0.000 0.543  4.20
Cr 0.000 0.000 0.957  4.20
Sr 0.500 0.500 0.250  0.10
Br 0.500 0.500 0.750  0.09

Results
raw formation energy: 0.628 eV/atom
distance to the lowest polymorph of the same formula: 571.4 meV per atom